No. 1
Material: NiTe2As
Method: DFT, PBE
State: relaxed Values from VASP.

Computed properties:
The energy relative to the elements, uncorrected comes out at 0.38 eV/atom. Its space-group type is P4/mmm, No. 123.

```
&SYSTEM
  ibrav = 0, nat = 4, ntyp = 3
/
ATOMIC_SPECIES
As 74.92 As.upf
Ni 58.69 Ni.upf
Te 127.60 Te.upf
ATOMIC_POSITIONS crystal
As 0.500 0.500 0.250
Ni 0.500 0.500 0.750
Te 0.000 0.000 0.971
Te 0.000 0.000 0.529
CELL_PARAMETERS angstrom
3.400 0.000 0.000
0.000 3.400 0.000
0.000 0.000 7.166
```

No. 2
Material: Hf3SbIr
Method: DFT, PBE
State: relaxed Values from VASP.

Computed properties:
The energy relative to the elements, uncorrected comes out at -0.06 eV/atom. The energy above the lowest structure with this stoichiometry is 0.0 meV per atom. Its space-group type is Pm-3m, No. 221.

```
&SYSTEM
  ibrav = 0, nat = 5, ntyp = 3
/
ATOMIC_SPECIES
Sb 121.76 Sb.upf
Ir 192.22 Ir.upf
Hf 178.49 Hf.upf
ATOMIC_POSITIONS crystal
Sb 0.500 0.500 0.500
Ir 0.000 0.000 0.000
Hf 0.000 0.500 0.000
Hf 0.000 0.000 0.500
Hf 0.500 0.000 0.000
CELL_PARAMETERS angstrom
-2.254 3.922 -2.188
1.271 -1.791 -4.520
-4.307 -2.581 -0.188
```

No. 3
Material: CrRe3
Method: DFT, PBE
State: relaxed Values from VASP.

Computed properties:
Its space-group type is P4/mmm, No. 123. The calculation puts the formation energy at 0.74 eV per formula unit.

```
&SYSTEM
  ibrav = 0, nat = 4, ntyp = 2
/
ATOMIC_SPECIES
Cr 52.00 Cr.upf
Re 186.21 Re.upf
ATOMIC_POSITIONS crystal
Cr 0.000 0.000 0.000
Re 0.000 0.500 0.500
Re 0.500 0.000 0.500
Re 0.500 0.500 0.000
CELL_PARAMETERS angstrom
4.342 0.000 0.000
0.000 4.342 0.000
0.000 0.000 3.048
```

No. 4
Material: Ti2Be2AlPd5
Method: DFT, PBE
State: relaxed Values from VASP.

Computed properties:
Its space-group type is P4/mbm, No. 127. The calculation puts the formation energy at -5.86 eV per formula unit.

```
&SYSTEM
  ibrav = 0, nat = 20, ntyp = 4
/
ATOMIC_SPECIES
Ti 47.87 Ti.upf
Be 9.01 Be.upf
Al 26.98 Al.upf
Pd 106.42 Pd.upf
ATOMIC_POSITIONS crystal
Ti 0.000 0.679 0.179
Ti 0.000 0.321 0.821
Ti 0.000 0.179 0.321
Ti 0.000 0.821 0.679
Be 0.000 0.126 0.626
Be 0.000 0.874 0.374
Be 0.000 0.626 0.874
Be 0.000 0.374 0.126
Al 0.000 0.000 0.000
Al 0.000 0.500 0.500
Pd 0.500 0.207 0.059
Pd 0.500 0.793 0.941
Pd 0.500 0.059 0.793
Pd 0.500 0.707 0.441
Pd 0.500 0.941 0.207
Pd 0.500 0.293 0.559
Pd 0.500 0.559 0.707
Pd 0.500 0.441 0.293
Pd 0.500 0.500 0.000
Pd 0.500 0.000 0.500
CELL_PARAMETERS angstrom
2.948 0.000 0.000
0.000 9.721 0.000
0.000 0.000 9.721
```

No. 5
Material: PmYTh
Method: DFT, PBE
State: relaxed Values from VASP.

Computed properties:
The energy above the lowest structure with this stoichiometry is 194.5 meV per atom. Its space-group type is Fmmm, No. 69. The calculation puts the formation energy at 0.67 eV per formula unit.

```
&SYSTEM
  ibrav = 0, nat = 12, ntyp = 3
/
ATOMIC_SPECIES
Pm 145.00 Pm.upf
Y 88.91 Y.upf
Th 232.04 Th.upf
ATOMIC_POSITIONS crystal
Pm 0.844 0.844 0.000
Pm 0.344 0.344 0.500
Pm 0.656 0.656 0.500
Pm 0.156 0.156 0.000
Y 0.160 0.840 0.500
Y 0.660 0.340 0.000
Y 0.340 0.660 0.000
Y 0.840 0.160 0.500
Th 0.500 0.000 0.750
Th 0.000 0.500 0.750
Th 0.000 0.500 0.250
Th 0.500 0.000 0.250
CELL_PARAMETERS angstrom
-6.769 -0.242 -3.642
3.173 -4.000 -5.751
-1.535 -5.883 3.245
```

| no. | total magnetic moment (μB/f.u.) |
| --- | --- |
| 1 | 0.00 |
| 2 | 0.00 |
| 3 | 0.04 |
| 4 | 0.60 |
| 5 | 0.00 |